No. 1
Ba2Zn4In3Pb: relaxed, PBE.

Unit cell a=4.8099 b=4.8099 c=11.6215 alpha=90.00 beta=90.00 gamma=90.00
Closest atoms and distances in Å follow each position.
Positions (direct):
In  0.0000  0.5000  0.1233  5 Zn 2.73-2.80
In  0.5000  0.0000  0.8767  5 Zn 2.73-2.80
In  0.0000  0.0000  0.5000  4 Zn 2.92
Zn  0.0000  0.5000  0.3582  3 In 2.73-2.92, 2 Pb 2.92
Zn  0.0000  0.0000  0.0000  4 In 2.80
Zn  0.5000  0.0000  0.6418  3 In 2.73-2.92, 2 Pb 2.92
Zn  0.5000  0.5000  0.0000  4 In 2.80
Ba  0.0000  0.5000  0.7586  8 Zn 3.66-3.69, 6 In 3.67-3.85, 2 Pb 3.85
Ba  0.5000  0.0000  0.2414  8 Zn 3.66-3.69, 6 In 3.67-3.85, 2 Pb 3.85
Pb  0.5000  0.5000  0.5000  4 Zn 2.92

- DOS(E_F): 4.55 states/eV per cell
- DFT formation energy: -0.2947 eV/atom
- SG: P-4m2 (115)
- Uncorrected energy: -2.381 eV/atom


No. 2
MnMoHRh2: relaxed, PBE.

Unit cell a=3.8630 b=3.8630 c=3.9792 alpha=90.00 beta=90.00 gamma=90.00
Closest atoms and distances in Å follow each position.
Positions (direct):
Mn  0.5000  0.5000  0.5000  4 Mo 2.73, 8 Rh 2.77
Mo  0.0000  0.0000  0.5000  2 H 1.99
Rh  0.5000  0.0000  0.0000  2 H 1.93
Rh  0.0000  0.5000  0.0000  2 H 1.93
H  0.0000  0.0000  0.0000  4 Rh 1.93, 2 Mo 1.99

- DOS(E_F): 3.77 states/eV per cell
- SG: P4/mmm (123)
- Energy above the lowest structure with this stoichiometry: 0.00 eV/f.u.
- Uncorrected energy: -7.681 eV/atom


No. 3
CuGeRh: relaxed, PBE.

Unit cell a=3.2938 b=6.7027 c=6.7027 alpha=120.00 beta=90.00 gamma=90.00
Closest atoms and distances in Å follow each position.
Positions (direct):
Rh  0.0000  0.0000  0.2774  4 Ge 2.44-2.48
Rh  0.0000  0.2774  0.0000  4 Ge 2.44-2.48
Rh  0.0000  0.7226  0.7226  4 Ge 2.44-2.48
Cu  0.5000  0.0000  0.6151  5 Ge 2.58-2.66, 6 Rh 2.80-2.83
Cu  0.5000  0.3849  0.3849  5 Ge 2.58-2.66, 6 Rh 2.80-2.83
Cu  0.5000  0.6151  0.0000  5 Ge 2.58-2.66, 6 Rh 2.80-2.83
Ge  0.0000  0.3333  0.6667  3 Rh 2.44, 6 Cu 2.66
Ge  0.5000  0.0000  0.0000  6 Rh 2.48, 3 Cu 2.58
Ge  0.0000  0.6667  0.3333  3 Rh 2.44, 6 Cu 2.66

- DOS(E_F): 3.07 states/eV per cell
- DFT formation energy: -0.3119 eV/atom
- SG: P-62m (189)
- Uncorrected energy: -5.667 eV/atom